The following is a GGA-PBE calculation of a geometry-optimized SrLiRu2 structure, from Alexandria via LeMat-Bulk.

Values from the calculation:
- excess energy over the best structure of this formula in the dataset (eV/atom) = 0.494
- density (Mg/m³) = 6.792
- energy of formation from the pure elements (eV/atom) = 0.69
- magnetic moment (Bohr magnetons per cell) = 0.7
- crystal system = orthorhombic

```
4
Lattice="-0.5232 4.3327 3.2344 -4.2046 -3.0405 -1.6075 0.3417 -1.7196 2.3587" Properties=species:S:1:pos:R:3 pbc="T T T"
Li -1.9315 -2.3800 0.3756
Ru 0.0000 0.0000 0.0000
Ru -2.3639 0.6461 0.8135
Sr -0.0908 1.3066 2.7966
```